1.
Material: YTeIr
Method: DFT, PBE
State: optimized geometry

```
YTeIr
1.0
5.327 0.001 -0.003
2.461 4.724 0.003
-3.891 -2.368 2.763
Ir Te Y
1 1 1
Direct
0.028 0.028 0.000 Ir
0.321 0.321 0.000 Te
0.651 0.651 0.000 Y
```

Computed properties:
Total moment in μB/atom: 0.000
DOS at the Fermi energy in states/eV/atom: 0.5410
Formation energy without anion corrections in eV per atom: -0.41
Calculated density in g cm⁻³: 9.76



2.
Material: Y5Te4Ir
Method: DFT, PBE
State: optimized geometry

```
Y5Te4Ir
1.0
4.211 0.000 -0.593
-0.084 4.210 -0.593
0.105 0.107 15.984
Y Te Ir
5 4 1
Direct
0.084 0.084 0.167 Y
0.500 0.500 0.000 Y
0.916 0.916 0.833 Y
0.289 0.289 0.578 Y
0.711 0.711 0.422 Y
0.394 0.394 0.789 Te
0.810 0.810 0.619 Te
0.190 0.190 0.381 Te
0.606 0.606 0.211 Te
0.000 0.000 0.000 Ir
```

Computed properties:
Total moment in μB/atom: 0.000
DOS at the Fermi energy in states/eV/atom: 0.5444
Formation energy without anion corrections in eV per atom: -1.21
Calculated density in g cm⁻³: 6.71



3.
Material: YTeIr2
Method: DFT, PBE
State: optimized geometry

```
YTeIr2
1.0
-1.491 -1.611 4.585
0.990 -4.042 -3.876
2.889 -1.087 0.636
Ir Te Y
2 1 1
Direct
0.000 0.000 0.000 Ir
0.500 0.000 0.500 Ir
0.000 0.500 0.500 Te
0.500 0.500 0.000 Y
```

Computed properties:
Total moment in μB/atom: 0.000
DOS at the Fermi energy in states/eV/atom: 0.8075
Formation energy without anion corrections in eV per atom: -0.02
Calculated density in g cm⁻³: 12.83



4.
Material: YTeIr2
Method: DFT, PBE
State: optimized geometry

```
YTeIr2
1.0
-0.836 -2.791 3.314
3.705 1.290 2.021
-3.159 5.720 6.957
Y Ir Te
2 4 2
Direct
0.500 0.500 0.000 Y
0.250 0.750 0.500 Y
0.684 0.125 0.250 Ir
0.066 0.625 0.250 Ir
0.375 0.316 0.750 Ir
0.875 0.934 0.750 Ir
0.000 0.000 0.000 Te
0.750 0.250 0.500 Te
```

Computed properties:
Total moment in μB/atom: 0.000
DOS at the Fermi energy in states/eV/atom: 0.9582
Formation energy without anion corrections in eV per atom: -0.01
Calculated density in g cm⁻³: 11.36



5.
Material: YTe2Ir
Method: DFT, PBE
State: optimized geometry

```
YTe2Ir
1.0
-0.557 3.484 -2.512
0.353 -0.337 -4.304
-6.086 -0.194 -2.676
Ir Te Y
1 2 1
Direct
0.250 0.250 0.250 Ir
0.985 0.985 0.044 Te
0.515 0.515 0.456 Te
0.750 0.750 0.750 Y
```

Computed properties:
Offset from the most stable computed form in kcal/mol of atoms: 7.75
Total moment in μB/atom: 0.000
DOS at the Fermi energy in states/eV/atom: 0.8919
Formation energy without anion corrections in eV per atom: -0.39
Calculated density in g cm⁻³: 8.92



6.
Material: YTe2Ir
Method: DFT, PBE
State: optimized geometry

```
YTe2Ir
1.0
-1.316 -1.171 -3.264
-0.529 -4.506 1.831
-4.543 1.116 1.432
Ir Te Y
1 2 1
Direct
0.500 0.000 0.500 Ir
0.000 0.000 0.000 Te
0.000 0.500 0.500 Te
0.500 0.500 0.000 Y
```

Computed properties:
Offset from the most stable computed form in kcal/mol of atoms: 6.54
Total moment in μB/atom: 0.000
DOS at the Fermi energy in states/eV/atom: 0.5348
Formation energy without anion corrections in eV per atom: -0.44
Calculated density in g cm⁻³: 10.03



7.
Material: YTeIr
Method: DFT, PBE
State: optimized geometry

```
YTeIr
1.0
-5.657 -0.834 -0.488
2.784 -1.286 3.671
-1.099 5.782 2.859
Ir Y Te
2 2 2
Direct
0.427 0.853 0.000 Ir
0.427 0.853 0.500 Ir
0.753 0.505 0.250 Y
0.753 0.505 0.750 Y
0.154 0.308 0.250 Te
0.154 0.308 0.750 Te
```

Computed properties:
Total moment in μB/atom: 0.000
DOS at the Fermi energy in states/eV/atom: 0.1318
Formation energy without anion corrections in eV per atom: -0.16
Calculated density in g cm⁻³: 9.45



8.
Material: YTe2Ir2
Method: DFT, PBE
State: optimized geometry

```
YTe2Ir2
1.0
7.419 0.000 0.000
0.000 7.419 0.000
0.000 0.000 3.896
Y Ir Te
2 4 4
Direct
0.000 0.000 0.000 Y
0.500 0.500 0.000 Y
0.376 0.876 0.000 Ir
0.876 0.624 0.000 Ir
0.624 0.124 0.000 Ir
0.124 0.376 0.000 Ir
0.191 0.691 0.500 Te
0.691 0.809 0.500 Te
0.809 0.309 0.500 Te
0.309 0.191 0.500 Te
```

Computed properties:
Offset from the most stable computed form in kcal/mol of atoms: 0.78
Total moment in μB/atom: 0.000
DOS at the Fermi energy in states/eV/atom: 1.2208
Formation energy without anion corrections in eV per atom: -0.23
Calculated density in g cm⁻³: 11.28



9.
Material: YTeIr2
Method: DFT, PBE
State: optimized geometry

```
YTeIr2
1.0
6.536 -0.003 -0.002
5.202 3.957 -0.002
5.202 1.752 3.548
Ir Te Y
2 1 1
Direct
0.978 0.978 0.978 Ir
0.270 0.270 0.270 Ir
0.523 0.523 0.523 Te
0.729 0.729 0.729 Y
```

Computed properties:
Total moment in μB/atom: 0.000
DOS at the Fermi energy in states/eV/atom: 0.6958
Formation energy without anion corrections in eV per atom: -0.26
Calculated density in g cm⁻³: 10.86



10.
Material: YTeIr2
Method: DFT, PBE
State: optimized geometry

```
YTeIr2
1.0
3.251 -0.003 0.000
0.003 3.251 0.000
0.000 0.000 7.425
Ir Te Y
2 1 1
Direct
0.000 0.000 0.020 Ir
0.000 0.000 0.480 Ir
0.500 0.500 0.250 Te
0.500 0.500 0.750 Y
```

Computed properties:
Total moment in μB/atom: 0.000
DOS at the Fermi energy in states/eV/atom: 0.5493
Formation energy without anion corrections in eV per atom: -0.14
Calculated density in g cm⁻³: 12.72



11.
Material: Y7Te2Ir2
Method: DFT, PBE
State: optimized geometry

```
Y7Te2Ir2
1.0
-3.213 -0.288 2.312
-5.030 -6.646 -4.412
0.491 -8.935 2.975
Y Te Ir
7 2 2
Direct
0.815 0.081 0.288 Y
0.854 0.403 0.890 Y
0.500 0.023 0.977 Y
0.630 0.476 0.263 Y
0.370 0.737 0.524 Y
0.185 0.712 0.919 Y
0.146 0.110 0.597 Y
0.000 0.762 0.238 Te
0.500 0.359 0.641 Te
0.739 0.857 0.665 Ir
0.261 0.335 0.143 Ir
```

Computed properties:
Total moment in μB/atom: 0.000
DOS at the Fermi energy in states/eV/atom: 0.8714
Formation energy without anion corrections in eV per atom: -0.92
Calculated density in g cm⁻³: 7.03



12.
Material: YTe2Ir
Method: DFT, PBE
State: optimized geometry

```
YTe2Ir
1.0
-3.249 0.569 2.259
3.060 -3.369 5.250
4.737 1.640 6.400
Ir Te Y
1 2 1
Direct
0.500 0.750 0.750 Ir
0.000 0.788 0.947 Te
0.000 0.712 0.553 Te
0.500 0.250 0.250 Y
```

Computed properties:
Offset from the most stable computed form in kcal/mol of atoms: 3.16
Total moment in μB/atom: 0.000
Formation energy without anion corrections in eV per atom: -0.59
Calculated density in g cm⁻³: 6.00



13.
Material: YTe2Ir
Method: DFT, PBE
State: optimized geometry

```
YTe2Ir
1.0
-1.737 0.647 -3.474
2.830 -2.063 -1.799
-3.337 -5.188 0.702
Ir Te Y
1 2 1
Direct
0.500 0.500 0.820 Ir
0.000 0.000 0.927 Te
0.500 0.500 0.287 Te
0.000 0.000 0.466 Y
```

Computed properties:
Offset from the most stable computed form in kcal/mol of atoms: 4.90
Total moment in μB/atom: 0.000
DOS at the Fermi energy in states/eV/atom: 0.4232
Formation energy without anion corrections in eV per atom: -0.51
Calculated density in g cm⁻³: 9.25



14.
Material: YTeIr3
Method: DFT, PBE
State: optimized geometry

```
YTeIr3
1.0
5.009 0.000 0.000
0.000 5.009 0.000
0.000 0.000 5.009
Y Ir Te
1 3 1
Direct
0.000 0.000 0.000 Y
0.000 0.500 0.000 Ir
0.000 0.000 0.500 Ir
0.500 0.000 0.000 Ir
0.500 0.500 0.500 Te
```

Computed properties:
Offset from the most stable computed form in kcal/mol of atoms: 26.25
Total moment in μB/atom: 0.302
DOS at the Fermi energy in states/eV/atom: 2.1498
Formation energy without anion corrections in eV per atom: 1.87
Calculated density in g cm⁻³: 10.48



15.
Material: Y4TeIr
Method: DFT, PBE
State: optimized geometry

```
Y4TeIr
1.0
0.000 4.294 4.294
4.294 0.000 4.294
4.294 4.294 0.000
Y Te Ir
4 1 1
Direct
0.376 0.872 0.376 Y
0.872 0.376 0.376 Y
0.376 0.376 0.872 Y
0.376 0.376 0.376 Y
0.000 0.000 0.000 Te
0.750 0.750 0.750 Ir
```

Computed properties:
Offset from the most stable computed form in kcal/mol of atoms: 28.43
Total moment in μB/atom: 0.000
DOS at the Fermi energy in states/eV/atom: 1.7599
Formation energy without anion corrections in eV per atom: 0.40
Calculated density in g cm⁻³: 7.08



16.
Material: Y4TeIr
Method: DFT, PBE
State: optimized geometry

```
Y4TeIr
1.0
6.888 -0.263 0.000
-1.442 7.473 0.000
-2.723 -3.605 7.227
Y Te Ir
8 2 2
Direct
0.310 0.916 0.579 Y
0.047 0.818 0.089 Y
0.231 0.337 0.421 Y
0.458 0.728 0.911 Y
0.690 0.084 0.421 Y
0.769 0.663 0.579 Y
0.953 0.182 0.911 Y
0.542 0.272 0.089 Y
0.364 0.614 0.227 Te
0.636 0.386 0.773 Te
0.826 0.076 0.152 Ir
0.174 0.924 0.848 Ir
```

Computed properties:
Offset from the most stable computed form in kcal/mol of atoms: 3.81
Total moment in μB/atom: 0.000
DOS at the Fermi energy in states/eV/atom: 0.7427
Formation energy without anion corrections in eV per atom: -0.66
Calculated density in g cm⁻³: 6.08



17.
Material: Y3TeIr
Method: DFT, PBE
State: optimized geometry

```
Y3TeIr
1.0
-3.702 -3.486 1.818
-0.084 -2.426 -4.824
3.931 -3.335 1.609
Y Ir Te
3 1 1
Direct
0.000 0.500 0.000 Y
0.000 0.000 0.500 Y
0.500 0.000 0.000 Y
0.000 0.000 0.000 Ir
0.500 0.500 0.500 Te
```

Computed properties:
Offset from the most stable computed form in kcal/mol of atoms: 8.06
Total moment in μB/atom: 0.000
DOS at the Fermi energy in states/eV/atom: 1.0477
Formation energy without anion corrections in eV per atom: -0.59
Calculated density in g cm⁻³: 6.19



18.
Material: YTeIr2
Method: DFT, PBE
State: optimized geometry

```
YTeIr2
1.0
5.144 -0.038 -0.029
3.511 3.760 -0.029
1.942 0.835 3.905
Ir Te Y
2 1 1
Direct
0.012 0.012 0.988 Ir
0.488 0.488 0.512 Ir
0.750 0.750 0.750 Te
0.250 0.250 0.250 Y
```

Computed properties:
Total moment in μB/atom: 0.000
DOS at the Fermi energy in states/eV/atom: 0.3351
Formation energy without anion corrections in eV per atom: -0.27
Calculated density in g cm⁻³: 13.08



19.
Material: Y4TeIr
Method: DFT, PBE
State: optimized geometry

```
Y4TeIr
1.0
4.021 0.000 0.000
0.000 8.175 0.000
0.000 0.000 19.494
Y Te Ir
16 4 4
Direct
0.750 0.857 0.647 Y
0.250 0.143 0.353 Y
0.250 0.643 0.147 Y
0.750 0.357 0.853 Y
0.750 0.861 0.451 Y
0.250 0.139 0.549 Y
0.250 0.639 0.951 Y
0.750 0.361 0.049 Y
0.750 0.001 0.932 Y
0.250 0.999 0.068 Y
0.250 0.499 0.432 Y
0.750 0.501 0.568 Y
0.750 0.962 0.216 Y
0.250 0.038 0.784 Y
0.250 0.538 0.716 Y
0.750 0.462 0.284 Y
0.750 0.739 0.810 Te
0.250 0.261 0.190 Te
0.250 0.761 0.310 Te
0.750 0.239 0.690 Te
0.750 0.243 0.452 Ir
0.250 0.757 0.548 Ir
0.250 0.257 0.952 Ir
0.750 0.743 0.048 Ir
```

Computed properties:
Offset from the most stable computed form in kcal/mol of atoms: 0.00
Total moment in μB/atom: 0.000
DOS at the Fermi energy in states/eV/atom: 0.9060
Formation energy without anion corrections in eV per atom: -0.83
Calculated density in g cm⁻³: 7.00



20.
Material: YTe2Ir
Method: DFT, PBE
State: optimized geometry

```
YTe2Ir
1.0
3.805 -0.034 0.000
-1.356 3.555 0.000
0.000 0.000 7.328
Ir Te Y
1 2 1
Direct
0.500 0.500 0.750 Ir
0.000 0.000 0.968 Te
0.000 0.000 0.532 Te
0.500 0.500 0.250 Y
```

Computed properties:
Offset from the most stable computed form in kcal/mol of atoms: 12.54
Total moment in μB/atom: 0.000
DOS at the Fermi energy in states/eV/atom: 0.5345
Formation energy without anion corrections in eV per atom: -0.18
Calculated density in g cm⁻³: 9.02